(1)
Compound: Sc6Ge2PbSe3
Source: Alexandria via LeMat-Bulk
Functional: PBE-GGA
Structure: relaxed Values from VASP.

Geometry as Quantum ESPRESSO input:
```
&SYSTEM
  ibrav = 0, nat = 12, ntyp = 4
/
ATOMIC_SPECIES
Sc 44.96 Sc.upf
Ge 72.64 Ge.upf
Pb 207.20 Pb.upf
Se 78.96 Se.upf
ATOMIC_POSITIONS crystal
Sc 0.004 0.004 0.268
Sc 0.327 0.327 0.901
Sc 0.328 0.328 0.424
Sc 0.672 0.672 0.576
Sc 0.673 0.673 0.099
Sc 0.996 0.996 0.732
Ge 0.167 0.167 0.334
Ge 0.833 0.833 0.666
Pb 0.500 0.500 0.000
Se 0.165 0.165 0.831
Se 0.500 0.500 0.500
Se 0.835 0.835 0.169
CELL_PARAMETERS angstrom
8.662 -1.952 0.000
8.662 1.952 0.000
-1.959 0.000 7.770
```

formation energy without anion corrections: -1138 meV per atom
symmetry: C2/m


(2)
Compound: Sc2TaGePb
Source: Alexandria via LeMat-Bulk
Functional: PBE-GGA
Structure: relaxed Values from VASP.

Geometry as Quantum ESPRESSO input:
```
&SYSTEM
  ibrav = 0, nat = 5, ntyp = 4
/
ATOMIC_SPECIES
Sc 44.96 Sc.upf
Ta 180.95 Ta.upf
Ge 72.64 Ge.upf
Pb 207.20 Pb.upf
ATOMIC_POSITIONS crystal
Sc 0.000 0.500 0.000
Sc 0.500 0.000 0.000
Ta 0.000 0.000 0.500
Ge 0.500 0.500 0.500
Pb 0.000 0.000 0.000
CELL_PARAMETERS angstrom
5.326 0.000 0.000
0.000 5.326 0.000
0.000 0.000 5.221
```

ΔE_f: 535 kJ/mol of formula units
symmetry: P4/mmm


(3)
Compound: ScTcGe2Pb
Source: Alexandria via LeMat-Bulk
Functional: PBE-GGA
Structure: relaxed Values from VASP.

Geometry as Quantum ESPRESSO input:
```
&SYSTEM
  ibrav = 0, nat = 5, ntyp = 4
/
ATOMIC_SPECIES
Sc 44.96 Sc.upf
Tc 98.00 Tc.upf
Ge 72.64 Ge.upf
Pb 207.20 Pb.upf
ATOMIC_POSITIONS crystal
Sc 0.000 0.000 0.000
Tc 0.500 0.500 0.000
Ge 0.000 0.500 0.500
Ge 0.500 0.000 0.500
Pb 0.000 0.000 0.500
CELL_PARAMETERS angstrom
5.287 0.000 0.000
0.000 5.287 0.000
0.000 0.000 5.445
```

ΔE_f: 760 kJ/mol of formula units
symmetry: P4/mmm


(4)
Compound: Sc4GeTe2Pb
Source: Alexandria via LeMat-Bulk
Functional: PBE-GGA
Structure: relaxed Values from VASP.

Geometry as Quantum ESPRESSO input:
```
&SYSTEM
  ibrav = 0, nat = 8, ntyp = 4
/
ATOMIC_SPECIES
Sc 44.96 Sc.upf
Ge 72.64 Ge.upf
Te 127.60 Te.upf
Pb 207.20 Pb.upf
ATOMIC_POSITIONS crystal
Sc 0.228 0.000 0.223
Sc 0.240 0.500 0.765
Sc 0.760 0.500 0.235
Sc 0.772 0.000 0.777
Ge 0.000 0.500 0.000
Te 0.000 0.000 0.500
Te 0.500 0.500 0.500
Pb 0.500 0.000 0.000
CELL_PARAMETERS angstrom
7.181 0.000 0.000
0.000 4.080 0.000
-2.341 0.000 6.803
```

formation energy without anion corrections: -875 meV per atom
symmetry: P2/m


(5)
Compound: Sc6Ge2Te3Pb
Source: Alexandria via LeMat-Bulk
Functional: PBE-GGA
Structure: relaxed Values from VASP.

Geometry as Quantum ESPRESSO input:
```
&SYSTEM
  ibrav = 0, nat = 12, ntyp = 4
/
ATOMIC_SPECIES
Sc 44.96 Sc.upf
Ge 72.64 Ge.upf
Te 127.60 Te.upf
Pb 207.20 Pb.upf
ATOMIC_POSITIONS crystal
Sc 0.011 0.011 0.256
Sc 0.325 0.325 0.433
Sc 0.331 0.331 0.887
Sc 0.669 0.669 0.113
Sc 0.675 0.675 0.567
Sc 0.989 0.989 0.744
Ge 0.168 0.168 0.337
Ge 0.832 0.832 0.663
Te 0.163 0.163 0.834
Te 0.500 0.500 0.500
Te 0.837 0.837 0.166
Pb 0.500 0.500 0.000
CELL_PARAMETERS angstrom
8.964 -2.028 0.000
8.964 2.028 0.000
-1.957 0.000 8.055
```

formation energy without anion corrections: -929 meV per atom
symmetry: C2/m


(6)
Compound: ZrScGe2Pb
Source: Alexandria via LeMat-Bulk
Functional: PBE-GGA
Structure: relaxed Values from VASP.

Geometry as Quantum ESPRESSO input:
```
&SYSTEM
  ibrav = 0, nat = 5, ntyp = 4
/
ATOMIC_SPECIES
Zr 91.22 Zr.upf
Sc 44.96 Sc.upf
Ge 72.64 Ge.upf
Pb 207.20 Pb.upf
ATOMIC_POSITIONS crystal
Zr 0.000 0.000 0.000
Sc 0.500 0.500 0.500
Ge 0.000 0.500 0.500
Ge 0.500 0.000 0.500
Pb 0.500 0.500 0.000
CELL_PARAMETERS angstrom
4.967 0.000 0.000
0.000 4.967 0.000
0.000 0.000 5.415
```

ΔE_f: 283 kJ/mol of formula units
symmetry: P4/mmm


(7)
Compound: Ge2PbSe
Source: Alexandria via LeMat-Bulk
Functional: PBE-GGA
Structure: relaxed Values from VASP.

Geometry as Quantum ESPRESSO input:
```
&SYSTEM
  ibrav = 0, nat = 4, ntyp = 3
/
ATOMIC_SPECIES
Ge 72.64 Ge.upf
Pb 207.20 Pb.upf
Se 78.96 Se.upf
ATOMIC_POSITIONS crystal
Ge 0.250 0.250 0.250
Ge 0.750 0.750 0.750
Pb 0.000 0.000 0.000
Se 0.500 0.500 0.500
CELL_PARAMETERS angstrom
0.000 3.584 3.584
3.584 0.000 3.584
3.584 3.584 0.000
```

formation energy without anion corrections: 306 meV per atom
polymorph energy (0 for the lowest one): 43.1 meV per atom
symmetry: Fm-3m


(8)
Compound: GePbSe2
Source: Alexandria via LeMat-Bulk
Functional: PBE-GGA
Structure: relaxed Values from VASP.

Geometry as Quantum ESPRESSO input:
```
&SYSTEM
  ibrav = 0, nat = 16, ntyp = 3
/
ATOMIC_SPECIES
Ge 72.64 Ge.upf
Pb 207.20 Pb.upf
Se 78.96 Se.upf
ATOMIC_POSITIONS crystal
Ge 0.002 0.250 0.123
Ge 0.498 0.750 0.623
Ge 0.502 0.250 0.377
Ge 0.998 0.750 0.877
Pb 0.144 0.250 0.577
Pb 0.356 0.750 0.077
Pb 0.644 0.250 0.923
Pb 0.856 0.750 0.423
Se 0.060 0.750 0.305
Se 0.175 0.750 0.818
Se 0.325 0.250 0.318
Se 0.440 0.250 0.805
Se 0.560 0.750 0.195
Se 0.675 0.750 0.682
Se 0.825 0.250 0.182
Se 0.940 0.250 0.695
CELL_PARAMETERS angstrom
13.808 0.000 0.000
0.000 4.080 0.000
0.000 0.000 8.470
```

formation energy without anion corrections: -340 meV per atom
symmetry: Pnma


Final energy readings, ordered: -6.2531, -5.4583, -4.3535, -5.8667, -5.9588, -4.9775, -3.8005, -4.1640 eV/atom